Record 1
Here is a crystal of ZnCuP2 relaxed with PBEsol from the Alexandria database. Energies are from SCAN.

Geometry as extended XYZ:
```
4
Lattice="2.448 -3.393 0.000 2.448 3.393 0.000 0.000 0.000 3.367" Properties=species:S:1:pos:R:3 pbc="T T T"
Zn 0.000 0.000 0.000
Cu 2.448 0.000 0.000
P 1.224 1.696 1.684
P 1.224 -1.696 1.684
```

Summary:
crystal system	orthorhombic
volume	55.9	Å³/cell
DFT total energy	-12.01	eV/atom
formation energy from the elements	1.48	eV/f.u.


Record 2
Here is a crystal of Ti4Bi2O11 relaxed with PBEsol from the Alexandria database. Energies are from SCAN.

Geometry as extended XYZ:
```
17
Lattice="7.346 -1.885 0.000 7.346 1.885 0.000 -6.890 0.000 7.437" Properties=species:S:1:pos:R:3 pbc="T T T"
Ti 1.521 0.000 0.243
Ti -2.556 0.000 5.337
Ti 10.359 0.000 2.100
Ti 6.282 0.000 7.194
Bi 1.334 0.000 4.766
Bi 6.469 0.000 2.671
O -3.445 0.000 3.718
O -0.230 0.000 1.259
O -4.052 0.000 6.351
O -0.728 0.000 4.086
O 2.598 0.000 1.945
O -1.187 0.000 6.914
O 8.990 0.000 0.522
O 5.205 0.000 5.492
O 8.531 0.000 3.351
O 11.855 0.000 1.086
O 8.033 0.000 6.178
```

Summary:
crystal system	monoclinic
volume	205.9	Å³/cell
DFT total energy	-19.75	eV/atom


Record 3
Here is a crystal of Zr5Al3C relaxed with PBEsol from the Alexandria database. Energies are from SCAN.

Geometry as extended XYZ:
```
18
Lattice="8.265 0.000 0.000 -4.133 7.158 0.000 0.000 0.000 5.532" Properties=species:S:1:pos:R:3 pbc="T T T"
Zr -0.925 1.602 1.383
Zr -3.207 5.556 4.149
Zr 1.850 0.000 1.383
Zr 0.925 1.602 4.149
Zr 0.000 4.772 0.000
Zr 0.000 4.772 2.766
Zr 4.133 2.386 0.000
Zr 4.133 2.386 2.766
Zr 6.415 0.000 4.149
Zr 3.207 5.556 1.383
Al -1.651 2.859 4.149
Al -2.482 4.298 1.383
Al 3.302 0.000 4.149
Al 1.651 2.859 1.383
Al 4.963 0.000 1.383
Al 2.482 4.298 4.149
C 0.000 0.000 0.000
C 0.000 0.000 2.766
```

Summary:
crystal system	hexagonal
volume	327.3	Å³/cell
DFT total energy	-21.33	eV/atom
formation energy from the elements	-5.08	eV/f.u.


> What is the formula in the first record?

ZnCuP2